(1)
Entry from Alexandria via LeMat-Bulk: a relaxed structure of Ce3S3O16 (GGA-PBE).

a = 10.9849 Å, b = 10.9849 Å, c = 10.6014 Å
α = 90.00°, β = 90.00°, γ = 90.00°
With the nearest neighbours (Å) after each atom.
Space group I4/m (No. 87)
One atom of each set of equivalent atoms:
Ce (0.0000, 0.0000, 0.2460) [4 per cell]  8 O 2.26-2.48
Ce (0.0272, 0.7600, 0.0000) [8 per cell]  8 O 2.27-2.48
S (0.0000, 0.5000, 0.2500) [4 per cell]  4 O 1.48
S (0.1395, 0.7889, 0.5000) [8 per cell]  4 O 1.48
O (0.0351, 0.6062, 0.1714) [16 per cell]  1 S 1.48
O (0.0778, 0.8363, 0.3856) [16 per cell]  1 S 1.48
O (0.1034, 0.1310, 0.1220) [16 per cell]  3 Ce 2.26-2.29
O (0.1283, 0.6546, 0.5000) [8 per cell]  1 S 1.48
O (0.1720, 0.2685, 0.5000) [8 per cell]  1 S 1.48

Output
- E (eV per cell) = -618.02
- formation energy from raw total energies (kJ/mol of formula units) = -4341
- DOS at the Fermi energy (states/eV/atom) = 0.662

(2)
Entry from Alexandria via LeMat-Bulk: a relaxed structure of Ce4SO5 (GGA-PBE).

a = 7.4655 Å, b = 8.9164 Å, c = 5.7796 Å
α = 90.00°, β = 90.00°, γ = 90.00°
With the nearest neighbours (Å) after each atom.
Space group Pmmn (No. 59, origin choice 2)
One atom of each set of equivalent atoms:
Ce (0.0079, 0.2500, 0.0247) [4 per cell]  3 O 2.20-2.34
Ce (0.2500, 0.0274, 0.5224) [4 per cell]  5 O 2.34-2.44
S (0.2500, 0.7500, 0.3100) [2 per cell]  4 Ce 2.73-2.76
O (0.0030, 0.5596, 0.7335) [8 per cell]  3 Ce 2.20-2.42
O (0.2500, 0.2500, 0.7684) [2 per cell]  4 Ce 2.34-2.44

Output
- E (eV per cell) = -164.41
- formation energy from raw total energies (kJ/mol of formula units) = -2851
- DOS at the Fermi energy (states/eV/atom) = 1.794

(3)
Entry from Alexandria via LeMat-Bulk: a relaxed structure of Ce4S3O4 (GGA-PBE).

a = 6.8421 Å, b = 14.7772 Å, c = 3.9517 Å
α = 90.00°, β = 90.00°, γ = 90.00°
With the nearest neighbours (Å) after each atom.
Space group Pbam (No. 55)
One atom of each set of equivalent atoms:
Ce (0.2075, 0.1573, 0.0000) [4 per cell]  3 O 2.28-2.38
Ce (0.2192, 0.9222, 0.5000) [4 per cell]  3 O 2.20-2.29
S (0.0000, 0.5000, 0.0000) [2 per cell]  6 Ce 2.99-3.07, 6 O 3.19-3.33
S (0.0018, 0.2800, 0.5000) [4 per cell]  5 Ce 2.84-3.03, 2 O 3.15
O (0.1174, 0.8766, 0.0000) [4 per cell]  3 Ce 2.20-2.28
O (0.1413, 0.0732, 0.5000) [4 per cell]  4 Ce 2.29-2.47

Output
- E (eV per cell) = -175.31
- formation energy from raw total energies (kJ/mol of formula units) = -3059
- DOS at the Fermi energy (states/eV/atom) = 1.599

(4)
Entry from Alexandria via LeMat-Bulk: a relaxed structure of Ce2SO (GGA-PBE).

a = 3.6604 Å, b = 3.6604 Å, c = 20.2171 Å
α = 90.00°, β = 90.00°, γ = 120.00°
With the nearest neighbours (Å) after each atom.
Space group R3m (No. 160, hexagonal axes)
One atom of each set of equivalent atoms:
Ce (0.0000, 0.0000, 0.0000) [3 per cell]  3 O 2.61, 3 S 2.76
Ce (0.0000, 0.0000, 0.1569) [3 per cell]  3 O 2.67, 3 S 2.77
S (0.0000, 0.0000, 0.5789) [3 per cell]  6 Ce 2.76-2.77
O (0.0000, 0.0000, 0.4095) [3 per cell]  6 Ce 2.61-2.67

Output
- E (eV per cell) = -88.59
- formation energy from raw total energies (kJ/mol of formula units) = -828
- relative energy among the computed polymorphs (meV/atom) = 242
- DOS at the Fermi energy (states/eV/atom) = 2.199

(5)
Entry from Alexandria via LeMat-Bulk: a relaxed structure of CeSO5 (GGA-PBE).

a = 8.1707 Å, b = 8.2925 Å, c = 8.0810 Å
α = 90.00°, β = 119.21°, γ = 90.00°
With the nearest neighbours (Å) after each atom.
Space group C2/c (No. 15)
One atom of each set of equivalent atoms:
Ce (0.0000, 0.0000, 0.0000) [4 per cell]  2 O 2.09
S (0.0000, 0.3715, 0.2500) [4 per cell]  4 O 1.48-1.49
O (0.0000, 0.0623, 0.7500) [4 per cell]  2 Ce 2.09
O (0.0096, 0.2685, 0.1035) [8 per cell]  1 S 1.49
O (0.1688, 0.4752, 0.3418) [8 per cell]  1 S 1.48

Output
- E (eV per cell) = -202.41
- formation energy from raw total energies (kJ/mol of formula units) = -1520
- DOS at the Fermi energy (states/eV/atom) = 0.000

(6)
Entry from Alexandria via LeMat-Bulk: a relaxed structure of Ce2S3O (GGA-PBE).

a = 6.2692 Å, b = 12.6147 Å, c = 6.9167 Å
α = 90.00°, β = 90.00°, γ = 90.00°
With the nearest neighbours (Å) after each atom.
Space group Ibam (No. 72)
One atom of each set of equivalent atoms:
Ce (0.2380, 0.1202, 0.0000) [8 per cell]  1 O 2.13
S (0.0000, 0.2438, 0.2500) [8 per cell]  4 Ce 2.76-2.94
S (0.0000, 0.5000, 0.2500) [4 per cell]  4 Ce 2.83
O (0.0000, 0.0000, 0.0000) [4 per cell]  2 Ce 2.13

Output
- E (eV per cell) = -167.58
- formation energy from raw total energies (kJ/mol of formula units) = -1224

(7)
Entry from Alexandria via LeMat-Bulk: a relaxed structure of Ce2SO (GGA-PBE).

a = 3.2930 Å, b = 3.2930 Å, c = 6.6296 Å
α = 90.00°, β = 90.00°, γ = 90.00°
With the nearest neighbours (Å) after each atom.
Space group P4/mmm (No. 123)
One atom of each set of equivalent atoms:
Ce (0.0000, 0.0000, 0.2314) [2 per cell]  4 O 2.79, 4 S 2.93, 1 Ce 3.07
S (0.5000, 0.5000, 0.5000) [1 per cell]  8 Ce 2.93
O (0.5000, 0.5000, 0.0000) [1 per cell]  8 Ce 2.79

Output
- E (eV per cell) = -28.27
- formation energy from raw total energies (kJ/mol of formula units) = -706
- relative energy among the computed polymorphs (meV/atom) = 557
- DOS at the Fermi energy (states/eV/atom) = 2.513

(8)
Entry from Alexandria via LeMat-Bulk: a relaxed structure of Ce2S4O17 (GGA-PBE).

a = 6.8479 Å, b = 5.6229 Å, c = 9.1581 Å
α = 90.00°, β = 100.00°, γ = 90.00°
With the nearest neighbours (Å) after each atom.
Space group Pm (No. 6)
One atom of each set of equivalent atoms:
Ce (0.0000, 0.0000, 0.0000) [1 per cell]  7 O 2.31-2.42
Ce (0.3833, 0.5000, 0.5483) [1 per cell]  7 O 2.31-2.43
S (0.0291, 0.5000, 0.1846) [1 per cell]  4 O 1.47-1.50
S (0.3598, 0.0000, 0.3619) [1 per cell]  4 O 1.48-1.50
S (0.4647, 0.0000, 0.8269) [1 per cell]  4 O 1.47-1.49
S (0.9191, 0.5000, 0.7216) [1 per cell]  4 O 1.47-1.49
O (0.1007, 0.5000, 0.6536) [1 per cell]  1 S 1.48
O (0.1226, 0.5000, 0.3439) [1 per cell]  1 S 1.49
O (0.1736, 0.5000, 0.0835) [1 per cell]  1 S 1.47
O (0.2192, 0.0000, 0.4672) [1 per cell]  1 S 1.48
O (0.2619, 0.0000, 0.2044) [1 per cell]  1 S 1.48
O (0.2830, 0.0000, 0.8946) [1 per cell]  1 S 1.48
O (0.4646, 0.2162, 0.7332) [2 per cell]  1 S 1.49
O (0.4885, 0.2172, 0.3897) [2 per cell]  1 S 1.50
O (0.6409, 0.0000, 0.9444) [1 per cell]  1 S 1.47
O (0.7430, 0.5000, 0.6040) [1 per cell]  1 S 1.47
O (0.8513, 0.0000, 0.4475) [1 per cell]  3 O 2.49-2.74
O (0.8991, 0.2837, 0.1561) [2 per cell]  1 S 1.50
O (0.9194, 0.2842, 0.8154) [2 per cell]  1 S 1.49

Output
- E (eV per cell) = -151.66
- formation energy from raw total energies (kJ/mol of formula units) = -3762
- DOS at the Fermi energy (states/eV/atom) = 0.260